# 1
LaTmMo2O8 | GGA+U | relaxed

Lattice parameters (Å, degrees): 6.790 6.790 6.790 133.84 133.84 67.34
Atoms (fractional coordinates):
La: 0.000 0.000 0.000
Tm: 0.250 0.750 0.500
Mo: 0.500 0.500 0.000
Mo: 0.750 0.250 0.500
O: 0.027 0.074 0.428
O: 0.247 0.645 0.069
O: 0.355 0.425 0.603
O: 0.401 0.973 0.047
O: 0.575 0.178 0.931
O: 0.646 0.599 0.572
O: 0.822 0.753 0.397
O: 0.926 0.354 0.953

The calculation puts the total energy at -7.719 eV per atom. As for the space group: I-4, No. 82. The calculation puts the total moment at 2.000 Bohr magnetons per cell. Its crystal system is tetragonal.

# 2
CrGePbO6 | GGA+U | relaxed

Lattice parameters (Å, degrees): 4.667 4.667 9.362 90.00 90.00 90.00
Atoms (fractional coordinates):
Cr: 0.000 0.000 0.000
Cr: 0.500 0.500 0.500
Ge: 0.000 0.000 0.334
Ge: 0.500 0.500 0.834
Pb: 0.000 0.000 0.669
Pb: 0.500 0.500 0.169
O: 0.175 0.175 0.170
O: 0.205 0.205 0.485
O: 0.209 0.209 0.849
O: 0.291 0.709 0.349
O: 0.295 0.705 0.985
O: 0.325 0.675 0.670
O: 0.675 0.325 0.670
O: 0.705 0.295 0.985
O: 0.709 0.291 0.349
O: 0.791 0.791 0.849
O: 0.795 0.795 0.485
O: 0.825 0.825 0.170

The calculation puts the total energy at -6.340 eV per atom. As for the space group: P4_2nm, No. 102. The calculation puts the total moment at 3.990 Bohr magnetons per cell. Its crystal system is tetragonal.